# LiUCoS3 | the Alexandria database | PBE | optimized geometry
data_LiUCoS3
_space_group_name_H-M_alt 'P 1 21/m 1'
_space_group_IT_number 11
_cell_length_a 7.6040
_cell_length_b 3.6809
_cell_length_c 7.9579
_cell_angle_alpha 90.00
_cell_angle_beta 100.93
_cell_angle_gamma 90.00
loop_
_space_group_symop_operation_xyz
'x,y,z'
'-x,-y,-z'
'-x,y+1/2,-z'
'x,-y+1/2,z'
loop_
_atom_site_label
_atom_site_type_symbol
_atom_site_fract_x
_atom_site_fract_y
_atom_site_fract_z
Li1 Li 0.1390 0.2500 0.1513
U1 U 0.3349 0.7500 0.7726
Co1 Co 0.4102 0.7500 0.4149
S1 S 0.0937 0.2500 0.8299
S2 S 0.2973 0.2500 0.4952
S3 S 0.3989 0.7500 0.1321
# Spin magnetization (μB per cell): 3.76
# DFT total energy (eV/cell): -78.46
# Formation energy from raw total energies (eV per atom): -1.0896